Computed, not measured: a geometry-optimized PmNpGe2O8 structure at the GGA-PBE level of DFT.

Output
The space-group type is I-4m2. As for the total magnetization: 2.00 μB per formula unit. As for the raw formation energy: -2.370 eV per atom.

abc: 5.9971 5.9971 5.9971
angles: 106.99 106.99 114.57
Closest atoms and distances in Å follow each position.
Fractional coordinates of all 12 atoms:
Pm1 0.0000 0.0000 0.0000  8 O 2.33-2.51
Np1 0.2500 0.7500 0.5000  8 O 2.25-2.38
Ge1 0.5000 0.5000 0.0000  4 O 1.78
Ge2 0.7500 0.2500 0.5000  4 O 1.77
O1 0.3239 0.1321 0.8083  1 Ge 1.78
O2 0.3239 0.5156 0.1917  1 Ge 1.78
O3 0.3824 0.0602 0.3222  1 Ge 1.77
O4 0.4844 0.6762 0.8083  1 Ge 1.78
O5 0.7380 0.0602 0.6778  1 Ge 1.77
O6 0.8679 0.6762 0.1917  1 Ge 1.78
O7 0.9398 0.2620 0.3222  1 Ge 1.77
O8 0.9398 0.6176 0.6778  1 Ge 1.77

Computed, not measured: a geometry-optimized PrNpGe2O8 structure at the GGA-PBE level of DFT.

Output
The space-group type is I-4m2. As for the total magnetization: 2.00 μB per formula unit. As for the raw formation energy: -2.346 eV per atom.

abc: 6.0347 6.0347 6.0347
angles: 106.85 106.85 114.85
Closest atoms and distances in Å follow each position.
Fractional coordinates of all 12 atoms:
Pr1 0.0000 0.0000 0.0000  8 O 2.37-2.54
Np1 0.7500 0.2500 0.5000  8 O 2.27-2.37
Ge1 0.2500 0.7500 0.5000  4 O 1.77
Ge2 0.5000 0.5000 0.0000  4 O 1.79
O1 0.0596 0.3841 0.3245  1 Ge 1.77
O2 0.0596 0.7351 0.6755  1 Ge 1.77
O3 0.1339 0.3267 0.8072  1 Ge 1.79
O4 0.2649 0.9404 0.3245  1 Ge 1.77
O5 0.5195 0.3267 0.1928  1 Ge 1.79
O6 0.6159 0.9404 0.6755  1 Ge 1.77
O7 0.6733 0.4805 0.8072  1 Ge 1.79
O8 0.6733 0.8661 0.1928  1 Ge 1.79

no.,final energy (eV per atom)
1,-7.920
2,-7.898